The following is a DFT calculation (PBE) of a relaxed structure of CaTcN3.

Cell and atoms, written as POSCAR:
```
CaTcN3
1.0
7.102 0.000 0.000
0.000 5.519 0.000
-4.243 0.000 6.526
Ca Tc N
4 4 12
direct
0.224 0.247 0.111
0.224 0.253 0.611
0.776 0.747 0.389
0.776 0.753 0.889
0.208 0.738 0.854
0.208 0.762 0.354
0.792 0.238 0.646
0.792 0.262 0.146
0.050 0.038 0.772
0.050 0.462 0.272
0.253 0.745 0.626
0.253 0.755 0.126
0.441 0.097 0.471
0.441 0.403 0.971
0.559 0.597 0.029
0.559 0.903 0.529
0.747 0.245 0.874
0.747 0.255 0.374
0.950 0.538 0.728
0.950 0.962 0.228
```

Properties
symmetry	P2_1/c, No. 14
formation energy from raw total energies	-0.26	eV per atom